A relaxed Ac3LaOs crystal, computed with PBE.

The formation energy from the elements comes out at 0.083 eV per atom. Its crystal system is triclinic. Its magnetization is 0.000 μB per atom. As for the energy above the lowest structure with this stoichiometry: 0 meV/atom.

It has space group P-1 (No. 2), with a = 6.542 Å, b = 6.552 Å, c = 10.172 Å, α = 81.68°, β = 87.31° and γ = 61.09°. The asymmetric unit holds Ac at (0.058, 0.112, 0.310), Ac at (0.263, 0.234, 0.606), Ac at (0.409, 0.487, 0.212), La at (0.225, 0.139, 0.974) and Os at (0.290, 0.653, 0.483).